Entry 1:
VASP calculation (GGA-PBE) on an optimized crystal structure of Tl2IrBr.

Summary:
- space group = Pmmm, No. 47
- V (Å³/cell) = 109.7
- distance to the lowest polymorph of the same formula (meV per atom) = 428
- E_tot (eV/atom) = -3.22
- raw formation energy (meV per atom) = 595

```
Tl2IrBr
1.0
3.594 0.000 0.000
0.000 6.695 0.000
0.000 0.000 4.560
Tl Ir Br
2 1 1
direct
0.000 0.000 0.000
0.500 0.500 0.000
0.000 0.500 0.500
0.500 0.000 0.500
```

Entry 2:
VASP calculation (GGA-PBE) on an optimized crystal structure of Tl2IrBr.

Summary:
- space group = R3m, No. 160
- V (Å³/cell) = 112.9
- distance to the lowest polymorph of the same formula (meV per atom) = 197
- E_tot (eV/atom) = -3.45
- raw formation energy (meV per atom) = 364

```
Tl2IrBr
1.0
-3.023 -5.317 3.565
-2.824 -6.451 -0.727
0.794 -6.792 1.832
Tl Ir Br
2 1 1
direct
0.029 0.029 0.029
0.262 0.262 0.262
0.735 0.735 0.735
0.474 0.474 0.474
```

Entry 3:
VASP calculation (GGA-PBE) on an optimized crystal structure of TlIr2Br.

Summary:
- space group = F-43m, No. 216
- V (Å³/cell) = 75.8
- distance to the lowest polymorph of the same formula (meV per atom) = 697
- E_tot (eV/atom) = -4.34
- raw formation energy (meV per atom) = 1100

```
TlIr2Br
1.0
4.750 0.000 0.000
2.375 4.113 0.000
2.375 1.371 3.878
Tl Ir Br
1 2 1
direct
0.750 0.750 0.750
0.000 0.000 0.000
0.250 0.250 0.250
0.500 0.500 0.500
```

Entry 4:
VASP calculation (GGA-PBE) on an optimized crystal structure of TlIrBr6.

Summary:
- space group = C2/m, No. 12
- V (Å³/cell) = 314.4
- distance to the lowest polymorph of the same formula (meV per atom) = 0
- E_tot (eV/atom) = -3.02
- raw formation energy (meV per atom) = -363

```
TlIrBr6
1.0
-3.498 0.732 5.984
0.345 -6.920 -0.752
6.700 1.831 1.742
Tl Ir Br
1 1 6
direct
0.000 0.000 0.500
0.000 0.000 0.000
0.281 0.963 0.267
0.963 0.281 0.267
0.037 0.719 0.733
0.719 0.037 0.733
0.248 0.248 0.903
0.752 0.752 0.097
```

Entry 5:
VASP calculation (GGA-PBE) on an optimized crystal structure of TlIrBr2.

Summary:
- space group = R-3m, No. 166
- V (Å³/cell) = 107.6
- distance to the lowest polymorph of the same formula (meV per atom) = 330
- E_tot (eV/atom) = -3.38
- raw formation energy (meV per atom) = 264

```
TlIrBr2
1.0
-2.888 -1.088 -8.126
-0.037 -3.656 -7.886
-3.528 -4.526 -6.529
Tl Ir Br
1 1 2
direct
0.750 0.750 0.750
0.250 0.250 0.250
0.970 0.970 0.970
0.530 0.530 0.530
```

Entry 6:
VASP calculation (GGA-PBE) on an optimized crystal structure of TlIr2Br.

Summary:
- space group = Pmmm, No. 47
- V (Å³/cell) = 73.7
- distance to the lowest polymorph of the same formula (meV per atom) = 636
- E_tot (eV/atom) = -4.40
- raw formation energy (meV per atom) = 1039

```
TlIr2Br
1.0
3.118 0.000 0.000
0.000 3.747 0.000
0.000 0.000 6.304
Tl Ir Br
1 2 1
direct
0.500 0.500 0.250
0.000 0.000 0.015
0.000 0.000 0.485
0.500 0.500 0.750
```

Entry 7:
VASP calculation (GGA-PBE) on an optimized crystal structure of TlIr2Br.

Summary:
- space group = I-4m2, No. 119
- V (Å³/cell) = 74.1
- distance to the lowest polymorph of the same formula (meV per atom) = 680
- E_tot (eV/atom) = -4.36
- raw formation energy (meV per atom) = 1083

```
TlIr2Br
1.0
5.497 0.000 0.000
2.647 4.818 0.000
-4.072 -2.409 2.799
Tl Ir Br
1 2 1
direct
0.500 0.500 0.000
0.000 0.000 0.000
0.250 0.750 0.500
0.750 0.250 0.500
```

Entry 8:
VASP calculation (GGA-PBE) on an optimized crystal structure of TlIr2Br.

Summary:
- space group = I-42d, No. 122
- V (Å³/cell) = 189.3
- distance to the lowest polymorph of the same formula (meV per atom) = 455
- E_tot (eV/atom) = -4.58
- raw formation energy (meV per atom) = 858

```
TlIr2Br
1.0
-3.415 -2.081 -2.676
3.353 -1.516 -3.100
0.815 -8.706 1.405
Tl Ir Br
2 4 2
direct
0.000 0.000 0.000
0.750 0.250 0.500
0.481 0.125 0.250
0.269 0.625 0.250
0.375 0.519 0.750
0.875 0.731 0.750
0.500 0.500 0.000
0.250 0.750 0.500
```

What did the first record say?
VASP calculation (GGA-PBE) on an optimized crystal structure of Tl2IrBr.

Summary:
- space group = Pmmm, No. 47
- V (Å³/cell) = 109.7
- distance to the lowest polymorph of the same formula (meV per atom) = 428
- E_tot (eV/atom) = -3.22
- raw formation energy (meV per atom) = 595

```
Tl2IrBr
1.0
3.594 0.000 0.000
0.000 6.695 0.000
0.000 0.000 4.560
Tl Ir Br
2 1 1
direct
0.000 0.000 0.000
0.500 0.500 0.000
0.000 0.500 0.500
0.500 0.000 0.500
```

Q: Look up the raw formation energy of the fourth one.
A: -363 meV per atom